No. 1
This record from Alexandria via LeMat-Bulk describes a geometry-optimized Rb3Nd2NpO6 structure. The functional is PBE.

Computed properties:
Raw formation energy = -2412 meV per atom
Total magnetic moment = 7.97 Bohr magnetons per cell
E_tot = -168.2 eV per cell

Lattice parameters (Å, degrees): 6.3147 10.9367 6.9353 90.00 107.68 90.00
Closest atoms and distances in Å follow each position.
Space group C2/m (No. 12)
Unique sites:
Rb 0.0000 0.0000 0.0000 x2  6 O 2.97-3.04
Rb 0.0000 0.3333 0.0000 x4  6 O 2.97-3.04
Nd 0.0000 0.1667 0.5000 x4  6 O 2.44
Np 0.0000 0.5000 0.5000 x2  6 O 2.35
O 0.2207 0.3389 0.6783 x8  1 Np 2.35, 2 Nd 2.44
O 0.2371 0.0000 0.6785 x4  1 Np 2.35, 2 Nd 2.44

=====

No. 2
This record from Alexandria via LeMat-Bulk describes a geometry-optimized Rb2NdNpO6 structure. The functional is PBE.

Computed properties:
Raw formation energy = -2611 meV per atom
Total magnetic moment = 0.00 Bohr magnetons per cell
E_tot = -302.0 eV per cell

Lattice parameters (Å, degrees): 8.8435 8.8435 8.8435 90.00 90.00 90.00
Closest atoms and distances in Å follow each position.
Space group Fm-3m (No. 225)
Unique sites:
Rb 0.2500 0.2500 0.2500 x8  12 O 3.13
Nd 0.0000 0.0000 0.0000 x4  6 O 2.38
Np 0.0000 0.0000 0.5000 x4  6 O 2.04
O 0.0000 0.0000 0.2694 x24  1 Np 2.04

=====

No. 3
This record from Alexandria via LeMat-Bulk describes a geometry-optimized Rb3NdNp2O9 structure. The functional is PBE.

Computed properties:
Raw formation energy = -2661 meV per atom
Total magnetic moment = 2.00 Bohr magnetons per cell
E_tot = -118.1 eV per cell

Lattice parameters (Å, degrees): 6.2045 6.2045 7.6054 90.00 90.00 120.00
Closest atoms and distances in Å follow each position.
Space group P-3m1 (No. 164)
Unique sites:
Rb 0.0000 0.0000 0.0000 x1  12 O 3.08-3.10
Rb 0.3333 0.6667 0.6641 x2  12 O 3.11-3.13
Nd 0.0000 0.0000 0.5000 x1  6 O 2.38
Np 0.3333 0.6667 0.1614 x2  6 O 2.03-2.17
O 0.0000 0.5000 0.0000 x3  2 Np 2.17
O 0.1791 0.3582 0.3155 x6  1 Np 2.03

=====

No. 4
This record from Alexandria via LeMat-Bulk describes a geometry-optimized Rb2Nd2NpO6 structure. The functional is PBE.

Computed properties:
Raw formation energy = -2682 meV per atom
Total magnetic moment = 6.00 Bohr magnetons per cell
E_tot = -167.3 eV per cell

Lattice parameters (Å, degrees): 6.2528 10.8045 7.0052 90.00 106.72 90.00
Closest atoms and distances in Å follow each position.
Space group C2/m (No. 12)
Unique sites:
Rb 0.0000 0.1666 0.0000 x4  6 O 2.98-3.12
Nd 0.0000 0.3339 0.5000 x4  6 O 2.38-2.44
Np 0.0000 0.0000 0.5000 x2  6 O 2.21-2.30
O 0.2091 0.1622 0.6672 x8  1 Np 2.30, 2 Nd 2.38-2.43
O 0.2489 0.5000 0.6663 x4  1 Np 2.21, 2 Nd 2.44

=====

No. 5
This record from Alexandria via LeMat-Bulk describes a geometry-optimized RbNd2NpO6 structure. The functional is PBE.

Computed properties:
Raw formation energy = -2922 meV per atom
Total magnetic moment = 6.00 Bohr magnetons per cell
E_tot = -247.2 eV per cell

Lattice parameters (Å, degrees): 6.1555 6.1555 16.2772 90.00 90.00 120.00
Closest atoms and distances in Å follow each position.
Space group R3 (No. 146, hexagonal axes)
Unique sites:
Rb 0.0000 0.0000 0.0000 x3  3 O 2.73
Nd 0.0000 0.0000 0.2543 x3  6 O 2.35-2.51
Nd 0.0000 0.0000 0.7721 x3  6 O 2.33-2.49
Np 0.0000 0.0000 0.4607 x3  6 O 2.14-2.20
O 0.9996 0.3199 0.5214 x9  1 Np 2.20, 1 Nd 2.35
O 0.0458 0.5935 0.0399 x9  1 Np 2.14, 1 Nd 2.33

=====

No. 6
This record from Alexandria via LeMat-Bulk describes a geometry-optimized Rb4NdNp3O12 structure. The functional is PBE.

Computed properties:
Raw formation energy = -2678 meV per atom
Total magnetic moment = 8.00 Bohr magnetons per cell
E_tot = -321.0 eV per cell

Lattice parameters (Å, degrees): 8.7432 8.7432 8.7432 90.00 90.00 90.00
Closest atoms and distances in Å follow each position.
Space group Im-3m (No. 229)
Unique sites:
Rb 0.2500 0.2500 0.2500 x8  12 O 3.09-3.10
Nd 0.0000 0.0000 0.0000 x2  6 O 2.37
Np 0.0000 0.0000 0.5000 x6  6 O 2.00-2.19
O 0.0000 0.0000 0.2711 x12  1 Np 2.00
O 0.0000 0.2500 0.5000 x12  2 Np 2.19

=====

No. 7
This record from Alexandria via LeMat-Bulk describes a geometry-optimized RbNdNpO6 structure. The functional is PBE.

Computed properties:
Raw formation energy = -2439 meV per atom
Total magnetic moment = 1.10 Bohr magnetons per cell
E_tot = -70.4 eV per cell

Lattice parameters (Å, degrees): 6.0626 6.0626 5.8958 90.00 90.00 120.00
Closest atoms and distances in Å follow each position.
Space group P312 (No. 149)
Unique sites:
Rb 0.0000 0.0000 0.0000 x1  6 O 2.98
Nd 0.3333 0.6667 0.5000 x1  6 O 2.37
Np 0.6667 0.3333 0.5000 x1  6 O 2.00
O 0.4046 0.0443 0.6854 x6  1 Np 2.00

=====

No. 8
This record from Alexandria via LeMat-Bulk describes a geometry-optimized Nd2NpRhO8 structure. The functional is PBE.

Computed properties:
Raw formation energy = -2395 meV per atom
Total magnetic moment = 1.73 Bohr magnetons per cell
E_tot = -98.2 eV per cell

Lattice parameters (Å, degrees): 5.1121 5.1226 6.8402 90.20 90.23 92.36
Closest atoms and distances in Å follow each position.
Space group P-1 (No. 2)
Unique sites:
Nd 0.0288 0.0283 0.2610 x2  6 O 2.27-2.43
Np 0.5000 0.5000 0.0000 x1  6 O 2.01-2.13
Rh 0.5000 0.5000 0.5000 x1  6 O 1.98-2.14
O 0.2161 0.2163 0.9827 x2  1 Np 2.01
O 0.2227 0.2225 0.5265 x2  1 Rh 1.98
O 0.3111 0.6579 0.2488 x2  1 Np 2.13, 1 Rh 2.14
O 0.3417 0.6887 0.7510 x2  1 Np 2.13, 1 Rh 2.14

=====

No. 9
This record from Alexandria via LeMat-Bulk describes a geometry-optimized NdNpSO2 structure. The functional is PBE.

Computed properties:
Raw formation energy = -2590 meV per atom
Total magnetic moment = 8.00 Bohr magnetons per cell
E_tot = -89.4 eV per cell

Lattice parameters (Å, degrees): 3.8387 3.8387 12.2070 90.00 90.00 90.00
Closest atoms and distances in Å follow each position.
Space group I4mm (No. 107)
Unique sites:
Nd 0.0000 0.0000 0.0000 x2  4 O 2.33
Np 0.0000 0.0000 0.7103 x2  4 O 2.29
S 0.0000 0.0000 0.3552 x2  4 Nd 3.24, 4 Np 3.24, 4 O 3.57
O 0.0000 0.5000 0.1086 x4  2 Np 2.29, 2 Nd 2.33

=====

No. 10
This record from Alexandria via LeMat-Bulk describes a geometry-optimized NdNpSc2O8 structure. The functional is PBE.

Computed properties:
Raw formation energy = -3083 meV per atom
Total magnetic moment = 0.00 Bohr magnetons per cell
E_tot = -214.1 eV per cell

Lattice parameters (Å, degrees): 6.8957 7.1011 6.9747 90.00 90.00 90.00
Closest atoms and distances in Å follow each position.
Space group Cmmm (No. 65)
Unique sites:
Nd 0.0000 0.0000 0.0000 x2  6 O 2.30-2.38
Np 0.0000 0.0000 0.5000 x2  6 O 1.98-2.06
Sc 0.0000 0.5000 0.2281 x4  4 O 2.02-2.11
O 0.0000 0.2784 0.5000 x4  1 Np 1.98
O 0.0000 0.3239 0.0000 x4  2 Sc 2.02
O 0.1988 0.0000 0.2793 x8  1 Np 2.06, 1 Sc 2.11

=====

No. 11
This record from Alexandria via LeMat-Bulk describes a geometry-optimized Nd2NpScO8 structure. The functional is PBE.

Computed properties:
Raw formation energy = -3041 meV per atom
Total magnetic moment = 0.00 Bohr magnetons per cell
E_tot = -105.0 eV per cell

Lattice parameters (Å, degrees): 4.0318 5.4879 7.4251 89.87 89.98 83.29
Closest atoms and distances in Å follow each position.
Space group P-1 (No. 2)
Unique sites:
Nd 0.0002 0.0007 0.2408 x2  8 O 2.30-2.55
Np 0.5000 0.5000 0.5000 x1  6 O 2.00-2.11
Sc 0.5000 0.5000 0.0000 x1  2 O 2.04
O 0.0673 0.7190 0.5002 x2  1 Np 2.00
O 0.0715 0.7367 0.0007 x2  1 Sc 2.04
O 0.4488 0.2734 0.7250 x2  1 Np 2.11
O 0.4493 0.2741 0.2737 x2  1 Np 2.11

=====

No. 12
This record from Alexandria via LeMat-Bulk describes a geometry-optimized NdNpSeO2 structure. The functional is PBE.

Computed properties:
Raw formation energy = -2598 meV per atom
Total magnetic moment = 8.00 Bohr magnetons per cell
E_tot = -88.2 eV per cell

Lattice parameters (Å, degrees): 3.9066 3.9066 12.4100 90.00 90.00 90.00
Closest atoms and distances in Å follow each position.
Space group I4mm (No. 107)
Unique sites:
Nd 0.0000 0.0000 0.0000 x2  4 O 2.34
Np 0.0000 0.0000 0.7016 x2  4 O 2.30
Se 0.0000 0.0000 0.3503 x2  4 Np 3.32, 4 Nd 3.33, 8 O 3.62-3.71
O 0.0000 0.5000 0.1043 x4  2 Np 2.30, 2 Nd 2.34

=====

No. 13
This record from Alexandria via LeMat-Bulk describes a geometry-optimized SrNdNpO6 structure. The functional is PBE.

Computed properties:
Raw formation energy = -2938 meV per atom
Total magnetic moment = 0.00 Bohr magnetons per cell
E_tot = -151.2 eV per cell

Lattice parameters (Å, degrees): 6.0055 6.0055 9.8924 90.00 90.00 120.00
Closest atoms and distances in Å follow each position.
Space group P-31c (No. 163)
Unique sites:
Sr 0.0000 0.0000 0.0000 x2  6 O 2.60
Nd 0.3333 0.6667 0.2500 x2  6 O 2.37
Np 0.3333 0.6667 0.7500 x2  6 O 2.03
O 0.0419 0.3857 0.6408 x12  1 Np 2.03

=====

No. 14
This record from Alexandria via LeMat-Bulk describes a geometry-optimized SrNdNp2O8 structure. The functional is PBE.

Computed properties:
Raw formation energy = -2970 meV per atom
Total magnetic moment = 6.00 Bohr magnetons per cell
E_tot = -215.3 eV per cell

Lattice parameters (Å, degrees): 5.5061 5.5061 10.6418 90.00 90.00 90.00
Closest atoms and distances in Å follow each position.
Space group I-4m2 (No. 119)
Unique sites:
Sr 0.0000 0.0000 0.0000 x2  8 O 2.49
Nd 0.0000 0.5000 0.7500 x2  8 O 2.43
Np 0.0000 0.0000 0.5000 x2  8 O 2.26
Np 0.0000 0.5000 0.2500 x2  8 O 2.27
O 0.2194 0.2452 0.3731 x16  2 Np 2.26-2.27, 1 O 2.42, 1 Nd 2.43, 1 Sr 2.49

=====

No. 15
This record from Alexandria via LeMat-Bulk describes a geometry-optimized SrNd2NpO8 structure. The functional is PBE.

Computed properties:
Raw formation energy = -2839 meV per atom
Total magnetic moment = 1.04 Bohr magnetons per cell
E_tot = -97.9 eV per cell

Lattice parameters (Å, degrees): 4.1088 7.9072 5.4555 90.00 95.31 90.00
Closest atoms and distances in Å follow each position.
Space group P2/m (No. 10)
Unique sites:
Sr 0.0000 0.0000 0.0000 x1  8 O 2.49-2.69
Nd 0.5000 0.2621 0.5000 x2  8 O 2.38-2.54
Np 0.0000 0.5000 0.0000 x1  6 O 2.07-2.08
O 0.0387 0.2967 0.7650 x4  1 Np 2.07
O 0.4405 0.5000 0.2195 x2  1 Np 2.08
O 0.4902 0.0000 0.7142 x2  1 O 2.35, 2 Nd 2.38, 1 Sr 2.49

=====

No. 16
This record from Alexandria via LeMat-Bulk describes a geometry-optimized SrNd2NpO6 structure. The functional is PBE.

Computed properties:
Raw formation energy = -3107 meV per atom
Total magnetic moment = 9.00 Bohr magnetons per cell
E_tot = -254.9 eV per cell

Lattice parameters (Å, degrees): 6.1042 6.1042 15.7093 90.00 90.00 120.00
Closest atoms and distances in Å follow each position.
Space group R3 (No. 146, hexagonal axes)
Unique sites:
Sr 0.0000 0.0000 0.0000 x3  6 O 2.48-2.64
Nd 0.0000 0.0000 0.2711 x3  6 O 2.36-2.50
Nd 0.0000 0.0000 0.7782 x3  6 O 2.34-2.48
Np 0.0000 0.0000 0.4866 x3  6 O 2.25-2.27
O 0.0169 0.7368 0.3902 x9  1 Np 2.25, 2 Nd 2.34-2.50, 1 Sr 2.48
O 0.0345 0.3522 0.5486 x9  1 Np 2.27, 2 Nd 2.36-2.48

=====

No. 17
This record from Alexandria via LeMat-Bulk describes a geometry-optimized Sr2NdNpO6 structure. The functional is PBE.

Computed properties:
Raw formation energy = -3080 meV per atom
Total magnetic moment = 4.00 Bohr magnetons per cell
E_tot = -163.2 eV per cell

Lattice parameters (Å, degrees): 6.0386 6.2108 10.5377 90.00 124.80 90.00
Closest atoms and distances in Å follow each position.
Space group P2_1/c (No. 14)
Unique sites:
Sr 0.2387 0.0469 0.2514 x4  4 O 2.51-2.63
Nd 0.5000 0.0000 0.0000 x2  6 O 2.37-2.38
Np 0.0000 0.0000 0.5000 x2  6 O 2.14-2.17
O 0.1251 0.2146 0.9371 x4  1 Np 2.17, 1 Nd 2.37
O 0.2319 0.6888 0.9463 x4  1 Np 2.14, 1 Nd 2.37
O 0.3453 0.0463 0.7369 x4  1 Np 2.17, 1 Nd 2.38

=====

No. 18
This record from Alexandria via LeMat-Bulk describes a geometry-optimized TbNdNpO6 structure. The functional is PBE.

Computed properties:
Raw formation energy = -3178 meV per atom
Total magnetic moment = 2.00 Bohr magnetons per cell
E_tot = -161.4 eV per cell

Lattice parameters (Å, degrees): 5.8058 5.8058 9.7385 90.00 90.00 120.00
Closest atoms and distances in Å follow each position.
Space group P-31c (No. 163)
Unique sites:
Tb 0.3333 0.6667 0.2500 x2  6 O 2.29
Nd 0.0000 0.0000 0.0000 x2  6 O 2.44
Np 0.3333 0.6667 0.7500 x2  6 O 2.08
O 0.0272 0.3646 0.6367 x12  1 Np 2.08, 1 Tb 2.29

=====

No. 19
This record from Alexandria via LeMat-Bulk describes a geometry-optimized NdNpTl2O8 structure. The functional is PBE.

Computed properties:
Raw formation energy = -1892 meV per atom
Total magnetic moment = 0.06 Bohr magnetons per cell
E_tot = -84.8 eV per cell

Lattice parameters (Å, degrees): 5.2634 5.2687 6.9706 90.07 90.07 92.02
Closest atoms and distances in Å follow each position.
Space group P-1 (No. 2)
Unique sites:
Nd 0.0000 0.0000 0.0000 x1  6 O 2.28-2.40
Np 0.0000 0.0000 0.5000 x1  6 O 1.97-2.17
Tl 0.5002 0.5002 0.2497 x2  4 O 2.22-2.30
O 0.1727 0.8266 0.2884 x2  1 Np 1.97
O 0.1728 0.8267 0.7116 x2  1 Np 1.97
O 0.2967 0.2966 0.5003 x2  1 Np 2.17, 2 Tl 2.29-2.30
O 0.3124 0.3105 0.0005 x2  2 Tl 2.22, 1 Nd 2.28

=====

No. 20
This record from Alexandria via LeMat-Bulk describes a geometry-optimized NdNp3Tl4O12 structure. The functional is PBE.

Computed properties:
Raw formation energy = -2308 meV per atom
Total magnetic moment = 8.00 Bohr magnetons per cell
E_tot = -317.4 eV per cell

Lattice parameters (Å, degrees): 8.7390 8.7390 8.7390 90.00 90.00 90.00
Closest atoms and distances in Å follow each position.
Space group Im-3m (No. 229)
Unique sites:
Nd 0.0000 0.0000 0.0000 x2  6 O 2.37
Np 0.0000 0.0000 0.5000 x6  6 O 2.00-2.18
Tl 0.2500 0.2500 0.2500 x8  12 O 3.09-3.10
O 0.0000 0.0000 0.2715 x12  1 Np 2.00
O 0.0000 0.2500 0.5000 x12  2 Np 2.18